1.
Entry from Alexandria via LeMat-Bulk: a relaxed BeRhPbS2 crystal (PBE-GGA).

The raw formation energy comes out at 0.09 eV per atom. As for the size of the total moment: 0.00 μB per formula unit. The total energy comes out at -22.613 eV/cell. As for the space-group type: P4/mmm. Its calculated volume is 19.464 A^3/atom. As for the crystal system: tetragonal.

Unit cell a=4.857 b=4.125 c=4.857 alpha=90.00 beta=90.00 gamma=90.00
Positions (direct):
Rh1 0.000 0.000 0.000
S1 0.500 0.000 0.000
S2 0.000 0.000 0.500
Pb1 0.500 0.500 0.500
Be1 0.000 0.500 0.000

---

2.
Entry from Alexandria via LeMat-Bulk: a relaxed Li3Ge5F12 crystal (PBE-GGA).

The raw formation energy comes out at -2.03 eV per atom. As for the size of the total moment: 1.07 μB per formula unit. The total energy comes out at -367.187 eV/cell. As for the space-group type: Ia-3d. Its calculated volume is 15.327 A^3/atom. As for the crystal system: cubic.

Unit cell a=11.679 b=11.679 c=11.679 alpha=109.47 beta=109.47 gamma=109.47
Positions (direct):
F1 0.321 0.017 0.873
F2 0.804 0.948 0.821
F3 0.857 0.804 0.983
F4 0.321 0.304 0.948
F5 0.627 0.179 0.983
F6 0.017 0.321 0.373
F7 0.017 0.696 0.143
F8 0.643 0.127 0.448
F9 0.052 0.196 0.679
F10 0.948 0.804 0.321
F11 0.196 0.143 0.517
F12 0.873 0.517 0.321
F13 0.696 0.679 0.552
F14 0.448 0.627 0.643
F15 0.948 0.143 0.127
F16 0.627 0.448 0.143
F17 0.179 0.552 0.196
F18 0.552 0.373 0.357
F19 0.357 0.873 0.552
F20 0.127 0.483 0.679
F21 0.373 0.821 0.017
F22 0.127 0.643 0.948
F23 0.821 0.448 0.804
F24 0.373 0.552 0.857
F25 0.517 0.643 0.196
F26 0.052 0.857 0.873
F27 0.696 0.017 0.643
F28 0.179 0.627 0.483
F29 0.873 0.357 0.052
F30 0.483 0.127 0.179
F31 0.983 0.679 0.627
F32 0.483 0.357 0.804
F33 0.679 0.983 0.127
F34 0.143 0.948 0.627
F35 0.304 0.321 0.448
F36 0.821 0.373 0.517
F37 0.196 0.052 0.179
F38 0.552 0.179 0.696
F39 0.804 0.857 0.483
F40 0.679 0.696 0.052
F41 0.857 0.052 0.373
F42 0.357 0.483 0.304
F43 0.983 0.304 0.857
F44 0.448 0.821 0.304
F45 0.643 0.517 0.696
F46 0.143 0.196 0.017
F47 0.517 0.873 0.821
F48 0.304 0.983 0.357
Ge1 0.000 0.000 0.000
Ge2 0.250 0.375 0.625
Ge3 0.500 0.500 0.000
Ge4 0.750 0.625 0.375
Ge5 0.125 0.750 0.375
Ge6 0.500 0.000 0.500
Ge7 0.875 0.250 0.625
Ge8 0.750 0.125 0.875
Ge9 0.500 0.500 0.500
Ge10 0.000 0.000 0.500
Ge11 0.250 0.875 0.125
Ge12 0.125 0.375 0.250
Ge13 0.000 0.500 0.500
Ge14 0.375 0.250 0.125
Ge15 0.375 0.125 0.750
Ge16 0.000 0.500 0.000
Ge17 0.500 0.000 0.000
Ge18 0.625 0.750 0.875
Ge19 0.875 0.625 0.750
Ge20 0.625 0.875 0.250
Li1 0.875 0.750 0.125
Li2 0.250 0.125 0.375
Li3 0.625 0.375 0.750
Li4 0.375 0.625 0.250
Li5 0.750 0.375 0.125
Li6 0.125 0.875 0.750
Li7 0.375 0.750 0.625
Li8 0.875 0.125 0.250
Li9 0.125 0.250 0.875
Li10 0.625 0.250 0.375
Li11 0.250 0.625 0.875
Li12 0.750 0.875 0.625

---

3.
Entry from Alexandria via LeMat-Bulk: a relaxed NaRuRh crystal (PBE-GGA).

As for the size of the total moment: 0.00 μB per formula unit. Its formation energy is 596 meV/atom. The total energy comes out at -16.159 eV/cell. As for the space-group type: P-6m2. Its calculated volume is 15.785 A^3/atom. As for the crystal system: hexagonal.

Unit cell a=4.583 b=4.583 c=2.603 alpha=90.00 beta=90.00 gamma=120.00
Positions (direct):
Ru1 0.333 0.667 0.000
Rh1 0.667 0.333 0.000
Na1 0.000 0.000 0.500

---

4.
Entry from Alexandria via LeMat-Bulk: a relaxed La2PtN crystal (PBE-GGA).

The raw formation energy comes out at -1.07 eV per atom. As for the size of the total moment: 0.00 μB per formula unit. The total energy comes out at -57.040 eV/cell. As for the space-group type: I-42d. Its calculated volume is 24.869 A^3/atom. As for the crystal system: tetragonal.

Unit cell a=6.908 b=6.908 c=6.422 alpha=57.46 beta=57.46 gamma=90.00
Positions (direct):
La1 0.375 0.438 0.750
La2 0.875 0.812 0.750
La3 0.562 0.125 0.250
La4 0.188 0.625 0.250
N1 0.500 0.500 0.000
N2 0.250 0.750 0.500
Pt1 0.750 0.250 0.500
Pt2 0.000 0.000 0.000

---

5.
Entry from Alexandria via LeMat-Bulk: a relaxed Pr2Cd6Hg3 crystal (PBE-GGA).

As for the size of the total moment: 0.00 μB per formula unit. Its formation energy is -208 meV/atom. The total energy comes out at -18.243 eV/cell. As for the space-group type: P-62m. Its calculated volume is 25.699 A^3/atom. As for the crystal system: hexagonal.

Unit cell a=4.607 b=8.418 c=8.418 alpha=120.00 beta=90.00 gamma=90.00
Positions (direct):
Hg1 0.500 0.000 0.591
Hg2 0.500 0.591 0.000
Hg3 0.500 0.409 0.409
Cd1 0.500 0.738 0.738
Cd2 0.500 0.262 0.000
Cd3 0.000 0.798 0.000
Cd4 0.000 0.000 0.798
Cd5 0.000 0.202 0.202
Cd6 0.500 0.000 0.262
Pr1 0.000 0.667 0.333
Pr2 0.000 0.333 0.667

---

6.
Entry from Alexandria via LeMat-Bulk: a relaxed Mg2NpCuO6 crystal (PBE-GGA).

The raw formation energy comes out at -1.82 eV per atom. As for the size of the total moment: 0.94 μB per formula unit. The total energy comes out at -68.204 eV/cell. As for the space-group type: P4mm. Its calculated volume is 13.878 A^3/atom. As for the crystal system: tetragonal.

Unit cell a=4.217 b=5.737 c=5.737 alpha=90.00 beta=90.00 gamma=90.00
Positions (direct):
Np1 0.669 0.500 0.500
Mg1 0.912 0.000 0.500
Mg2 0.912 0.500 0.000
O1 0.180 0.500 0.500
O2 0.186 0.000 0.000
O3 0.734 0.749 0.251
O4 0.734 0.251 0.749
O5 0.734 0.749 0.749
O6 0.734 0.251 0.251
Cu1 0.654 0.000 0.000